Arrangement 1

In2MoOs: optimized geometry, GGA-PBE.

Computed properties:
Magnetic moment, μB per cell: 0.00

Structure (POSCAR):
```
In2MoOs
1.0
5.1478 -1.5242 0.0000
5.1478 1.5242 0.0000
-1.4681 0.0000 4.6420
In Mo Os
2 1 1
direct
0.0000 0.0000 0.0000 In
0.2176 0.2176 0.6657 In
0.7570 0.7570 0.1927 Mo
0.4639 0.4639 0.4752 Os
```


Arrangement 2

In2MoOs: optimized geometry, GGA-PBE.

Computed properties:
Magnetic moment, μB per cell: 0.00

Structure (POSCAR):
```
In2MoOs
1.0
4.6794 -1.5179 0.0000
4.6794 1.5179 0.0000
-1.0167 0.0000 5.0317
In Mo Os
2 1 1
direct
0.2465 0.2465 0.2444 In
0.7535 0.7535 0.7556 In
0.0000 0.0000 0.5000 Mo
0.5000 0.5000 0.0000 Os
```


Arrangement 3

In2MoOs: optimized geometry, GGA-PBE.

Computed properties:
Magnetic moment, μB per cell: 0.00

Structure (POSCAR):
```
In2MoOs
1.0
4.6881 0.0000 0.0000
0.0000 4.6881 0.0000
0.0000 0.0000 3.2109
In Mo Os
2 1 1
direct
0.0000 0.5000 0.0000 In
0.5000 0.0000 0.0000 In
0.0000 0.0000 0.5000 Mo
0.5000 0.5000 0.5000 Os
```


Arrangement 4

In2MoOs: optimized geometry, GGA-PBE.

Computed properties:
Magnetic moment, μB per cell: 0.00

Structure (POSCAR):
```
In2MoOs
1.0
-1.4727 2.3690 5.4688
1.4727 -2.3690 5.4688
1.4727 2.3690 -5.4688
In Mo Os
2 1 1
direct
0.0000 0.0000 0.0000 In
0.6979 0.1979 0.5000 In
0.4351 0.4351 0.0000 Mo
0.2424 0.7424 0.5000 Os
```


Which of them is most stable? Easy: arrangement 1.


Arrangement 1

In2MoOs: optimized geometry, GGA-PBE.

Computed properties:
Magnetic moment, μB per cell: 0.00

Structure (POSCAR):
```
In2MoOs
1.0
3.0965 0.0000 0.0000
0.0000 4.6871 0.0000
0.0000 0.0000 4.9774
In Mo Os
2 1 1
direct
0.0000 0.0000 0.0000 In
0.5000 0.0000 0.5000 In
0.0000 0.5000 0.5000 Mo
0.5000 0.5000 0.0000 Os
```


Arrangement 2

In2MoOs: optimized geometry, GGA-PBE.

Computed properties:
Magnetic moment, μB per cell: 0.00

Structure (POSCAR):
```
In2MoOs
1.0
2.9975 0.0000 0.0000
0.0000 4.5877 0.0000
-0.6533 0.0000 5.2502
In Mo Os
2 1 1
direct
0.2144 0.0000 0.2537 In
0.7856 0.0000 0.7463 In
0.5000 0.5000 0.0000 Mo
0.0000 0.5000 0.5000 Os
```


Arrangement 3

In2MoOs: optimized geometry, GGA-PBE.

Computed properties:
Magnetic moment, μB per cell: 0.00

Structure (POSCAR):
```
In2MoOs
1.0
0.0000 3.2932 3.2932
3.2932 0.0000 3.2932
3.2932 3.2932 0.0000
In Mo Os
2 1 1
direct
0.0000 0.0000 0.0000 In
0.2500 0.2500 0.2500 In
0.7500 0.7500 0.7500 Mo
0.5000 0.5000 0.5000 Os
```


Which of them is most stable? Easy: arrangement 2.


Arrangement 1

In2MoOs: optimized geometry, GGA-PBE.

Computed properties:
Magnetic moment, μB per cell: 0.00

Structure (POSCAR):
```
In2MoOs
1.0
3.0350 0.0000 0.0000
0.0000 3.0350 0.0000
0.0000 0.0000 8.4057
In Mo Os
2 1 1
direct
0.0000 0.0000 0.0000 In
0.5000 0.5000 0.3304 In
0.0000 0.0000 0.5824 Mo
0.5000 0.5000 0.7574 Os
```


Arrangement 2

In2MoOs: optimized geometry, GGA-PBE.

Computed properties:
Magnetic moment, μB per cell: 2.50

Structure (POSCAR):
```
In2MoOs
1.0
0.0000 3.2929 3.2929
3.2929 0.0000 3.2929
3.2929 3.2929 0.0000
In Mo Os
2 1 1
direct
0.2500 0.2500 0.2500 In
0.7500 0.7500 0.7500 In
0.0000 0.0000 0.0000 Mo
0.5000 0.5000 0.5000 Os
```


Which of them is most stable? Easy: arrangement 1.


Arrangement 1

In2MoOs: optimized geometry, GGA-PBE.

Computed properties:
Magnetic moment, μB per cell: 1.87

Structure (POSCAR):
```
In2MoOs
1.0
-3.7991 3.7991 2.7489
3.7991 -3.7991 2.7489
3.7991 3.7991 -2.7489
In Mo Os
4 2 2
direct
0.1096 0.6250 0.9846 In
0.3750 0.3596 0.4846 In
0.6404 0.1250 0.0154 In
0.8750 0.8904 0.5154 In
0.2500 0.7500 0.5000 Mo
0.5000 0.5000 0.0000 Mo
0.0000 0.0000 0.0000 Os
0.7500 0.2500 0.5000 Os
```


Arrangement 2

In2MoOs: optimized geometry, GGA-PBE.

Computed properties:
Magnetic moment, μB per cell: 0.00

Structure (POSCAR):
```
In2MoOs
1.0
-1.5277 2.5076 4.7271
1.5277 -2.5076 4.7271
1.5277 2.5076 -4.7271
In Mo Os
2 1 1
direct
0.2417 0.2417 0.0000 In
0.7583 0.7583 0.0000 In
0.5000 0.0000 0.5000 Mo
0.0000 0.5000 0.5000 Os
```


Arrangement 3

In2MoOs: optimized geometry, GGA-PBE.

Computed properties:
Magnetic moment, μB per cell: 0.00

Structure (POSCAR):
```
In2MoOs
1.0
1.5053 0.8691 9.4806
-1.5053 0.8691 9.4806
0.0000 -1.7382 9.4806
In Mo Os
2 1 1
direct
0.0000 0.0000 0.0000 In
0.2378 0.2378 0.2378 In
0.7521 0.7521 0.7521 Mo
0.4879 0.4879 0.4879 Os
```


Which of them is most stable? Easy: arrangement 3.